No. 1
VASP calculation (GGA-PBE) on a relaxed structure of CeSiHRh.

Results
Calculated total energy   -6.40 eV/atom
Crystal system   tetragonal

Cell lengths 4.062, 4.062, 7.420 Å; angles 90.00, 90.00, 90.00 degrees
Positions (direct):
Ce: 0.250 0.250 0.162
Ce: 0.750 0.750 0.838
Si: 0.250 0.250 0.678
Si: 0.750 0.750 0.322
H: 0.250 0.750 0.000
H: 0.750 0.250 0.000
Rh: 0.250 0.750 0.500
Rh: 0.750 0.250 0.500

---

No. 2
VASP calculation (GGA-PBE) on a relaxed structure of LiCeNdTe3.

Results
Crystal system   monoclinic
Energy relative to the elements, uncorrected   -1.29 eV per atom

Cell lengths 9.209, 4.336, 9.648 Å; angles 90.00, 103.33, 90.00 degrees
Positions (direct):
Li: 0.086 0.250 0.086
Li: 0.914 0.750 0.914
Ce: 0.184 0.250 0.728
Ce: 0.816 0.750 0.272
Nd: 0.333 0.750 0.342
Nd: 0.667 0.250 0.658
Te: 0.089 0.250 0.372
Te: 0.224 0.750 0.997
Te: 0.426 0.750 0.682
Te: 0.574 0.250 0.318
Te: 0.776 0.250 0.003
Te: 0.911 0.750 0.628

---

No. 3
VASP calculation (GGA-PBE) on a relaxed structure of NaGdGaAg.

Results
Crystal system   cubic
Energy relative to the elements   -0.1891 eV per atom

Cell lengths 7.162, 7.162, 7.162 Å; angles 90.00, 90.00, 90.00 degrees
Positions (direct):
Na: 0.000 0.000 0.000
Na: 0.000 0.500 0.500
Na: 0.500 0.000 0.500
Na: 0.500 0.500 0.000
Gd: 0.000 0.000 0.500
Gd: 0.000 0.500 0.000
Gd: 0.500 0.000 0.000
Gd: 0.500 0.500 0.500
Ga: 0.250 0.250 0.750
Ga: 0.250 0.750 0.250
Ga: 0.750 0.250 0.250
Ga: 0.750 0.750 0.750
Ag: 0.250 0.250 0.250
Ag: 0.250 0.750 0.750
Ag: 0.750 0.250 0.750
Ag: 0.750 0.750 0.250

---

No. 4
VASP calculation (GGA-PBE) on a relaxed structure of VGa2TcC.

Results
Crystal system   tetragonal
Energy relative to the elements   1.7251 eV per atom

Cell lengths 4.836, 4.836, 4.492 Å; angles 90.00, 90.00, 90.00 degrees
Positions (direct):
V: 0.000 0.000 0.000
Ga: 0.000 0.500 0.500
Ga: 0.500 0.000 0.500
Tc: 0.000 0.000 0.500
C: 0.500 0.500 0.000

---

No. 5
VASP calculation (GGA-PBE) on a relaxed structure of PmHg2PO6.

Results
Crystal system   trigonal
Energy relative to the elements, uncorrected   -1.55 eV per atom

Cell lengths 5.729, 5.729, 5.729 Å; angles 57.45, 57.45, 57.45 degrees
Positions (direct):
Pm: 0.000 0.000 0.000
Hg: 0.242 0.242 0.242
Hg: 0.758 0.758 0.758
P: 0.500 0.500 0.500
O: 0.198 0.707 0.381
O: 0.293 0.619 0.802
O: 0.381 0.198 0.707
O: 0.619 0.802 0.293
O: 0.707 0.381 0.198
O: 0.802 0.293 0.619

---

No. 6
VASP calculation (GGA-PBE) on a relaxed structure of Al2InBr.

Results
Polymorph energy (0 for the lowest one)   0.077 eV/atom
Crystal system   monoclinic
Energy relative to the elements, uncorrected   0.10 eV per atom

Cell lengths 5.382, 3.171, 5.448 Å; angles 90.00, 90.09, 90.00 degrees
Positions (direct):
Al: 0.000 0.000 0.000
Al: 0.000 0.500 0.500
In: 0.500 0.000 0.500
Br: 0.500 0.500 0.000